Entry from Alexandria: MgV2AuO after structural relaxation (PBE+U).

```
data_MgV2AuO
_chemical_formula_sum 'Mg1 V2 Au1 O1'
_space_group_name_H-M_alt 'P 4/m m m'
_space_group_IT_number 123
_space_group_name_Hall '-P 4 2'
_cell_length_a 4.210
_cell_length_b 4.210
_cell_length_c 4.254
_cell_angle_alpha 90.00
_cell_angle_beta 90.00
_cell_angle_gamma 90.00
loop_
_atom_site_label
_atom_site_fract_x
_atom_site_fract_y
_atom_site_fract_z
Mg1 0.000 0.000 0.000
V1 0.000 0.500 0.500
Au1 0.500 0.500 0.000
O1 0.000 0.000 0.500
```

The calculated volume comes out at 75.4 Å³/f.u. For the calculated total energy, the calculation gives -5.457 eV per atom.